1.
The following is a DFT calculation (PBE) of a geometry-optimized Y2PuFe2 structure.

## Properties
ΔE_f: -0.08 eV/atom
space group: C2/c, No. 15

Cell: 5.6355 5.6355 7.5477 Å, 80.94 80.94 61.89°
Last column: nearest neighbours and their distance in Å.
Atoms (fractional coordinates):
Y: 0.5379 0.7669 0.8490  6 Fe 3.00-3.16, 2 Pu 3.31-3.34
Y: 0.7669 0.5379 0.3490  6 Fe 3.00-3.16, 2 Pu 3.31-3.34
Y: 0.2331 0.4621 0.6510  6 Fe 3.00-3.16, 2 Pu 3.31-3.34
Y: 0.4621 0.2331 0.1510  6 Fe 3.00-3.16, 2 Pu 3.31-3.34
Fe: 0.0015 0.2453 0.9919  2 Pu 2.36-2.47
Fe: 0.7547 0.9985 0.5081  2 Pu 2.36-2.47
Fe: 0.9985 0.7547 0.0081  2 Pu 2.36-2.47
Fe: 0.2453 0.0015 0.4919  2 Pu 2.36-2.47
Pu: 0.8959 0.1041 0.7500  4 Fe 2.36-2.47
Pu: 0.1041 0.8959 0.2500  4 Fe 2.36-2.47

2.
The following is a DFT calculation (PBE) of a geometry-optimized AcPrN structure.

## Properties
energy relative to the lowest polymorph listed for this composition: 87 meV/atom
space group: P3m1, No. 156

Cell: 6.7239 3.7709 3.7709 Å, 120.00 90.00 90.00°
Last column: nearest neighbours and their distance in Å.
Atoms (fractional coordinates):
Pr: 0.2085 0.3333 0.6667  3 N 2.55
N: 0.0118 0.0000 0.0000  3 Pr 2.55, 3 Ac 2.68
Ac: 0.7797 0.6667 0.3333  3 N 2.68

3.
The following is a DFT calculation (PBE) of a geometry-optimized MoP2Ru structure.

## Properties
ΔE_f: -0.21 eV/atom
space group: P2/m, No. 10

Cell: 2.9583 5.1088 4.9967 Å, 47.10 90.00 90.00°
Last column: nearest neighbours and their distance in Å.
Atoms (fractional coordinates):
Mo: 0.0000 0.0000 0.5000  6 P 2.50
Ru: 0.5000 0.5000 0.5000  6 P 2.50
P: 0.0000 0.0000 0.0000  2 Mo 2.50, 4 Ru 2.50
P: 0.5000 0.5000 0.0000  2 Ru 2.50, 4 Mo 2.50

4.
The following is a DFT calculation (PBE) of a geometry-optimized Pr8SnGe3Te4 structure.

## Properties
final energy: -5.48 eV per atom
space group: R-3m, No. 166

Cell: 8.9135 9.0186 8.9132 Å, 119.62 120.00 90.00°
Last column: nearest neighbours and their distance in Å.
Atoms (fractional coordinates):
Ge: 0.5000 0.5000 0.0000  6 Pr 3.06
Ge: 0.5000 0.5000 0.5000  6 Pr 3.06
Ge: 0.0000 0.5000 0.5000  6 Pr 3.06
Te: 0.5000 0.0000 0.5000  6 Pr 3.28-3.29
Te: 0.0000 0.0000 0.0000  6 Pr 3.28-3.29
Te: 0.0000 0.0000 0.5000  6 Pr 3.28-3.29
Te: 0.5000 0.0000 0.0000  6 Pr 3.21
Pr: 0.7358 0.7306 0.9832  2 Ge 3.06, 1 Sn 3.14, 3 Te 3.21-3.28
Pr: 0.2587 0.2761 0.5174  3 Ge 3.06, 3 Te 3.29
Pr: 0.7413 0.7239 0.4826  3 Ge 3.06, 3 Te 3.29
Pr: 0.7526 0.2694 0.0168  2 Ge 3.06, 1 Sn 3.14, 3 Te 3.21-3.28
Pr: 0.2474 0.7306 0.4948  2 Ge 3.06, 1 Sn 3.14, 3 Te 3.21-3.28
Pr: 0.2474 0.7306 0.9832  2 Ge 3.06, 1 Sn 3.14, 3 Te 3.21-3.28
Pr: 0.7526 0.2694 0.5052  2 Ge 3.06, 1 Sn 3.14, 3 Te 3.21-3.28
Pr: 0.2642 0.2694 0.0168  2 Ge 3.06, 1 Sn 3.14, 3 Te 3.21-3.28
Sn: 0.0000 0.5000 0.0000  6 Pr 3.14